No. 1
## Er2ReMo3 (PBE)

Data for a relaxed structure of Er2ReMo3.

Geometry as extended XYZ:
```
6
Lattice="-1.223 -1.869 -5.004 -2.882 -1.687 4.344 -1.066 5.194 1.324" Properties=species:S:1:pos:R:3 pbc="T T T"
Re 0.000 0.000 0.000
Mo -1.145 1.663 -1.840
Mo -0.533 2.597 0.662
Er -2.125 -1.392 -1.957
Er -3.046 3.030 2.620
Mo -2.586 0.819 0.332
```

- ΔH_f (0 K): -43 meV per atom

No. 2
## ErMoRu (PBE)

Data for a relaxed structure of ErMoRu.

Geometry as extended XYZ:
```
12
Lattice="-3.978 2.974 -0.854 -3.997 -0.161 3.189 2.187 8.681 5.170" Properties=species:S:1:pos:R:3 pbc="T T T"
Ru -1.447 2.420 0.299
Ru -0.344 9.234 4.017
Mo -2.853 8.275 4.928
Er -3.209 7.048 2.315
Er -4.657 2.416 0.369
Mo -2.942 4.759 0.535
Mo 1.151 6.896 3.781
Er -3.318 0.397 1.965
Mo -4.925 4.705 2.150
Ru -1.358 5.937 4.692
Er -4.568 5.933 4.762
Ru -2.441 4.070 3.240
```

- ΔH_f (0 K): 338 meV per atom

No. 3
## ErSi2MoRu (PBE)

Data for a relaxed structure of ErSi2MoRu.

Geometry as extended XYZ:
```
5
Lattice="4.094 0.000 0.000 0.000 4.094 0.000 -2.047 -2.047 5.139" Properties=species:S:1:pos:R:3 pbc="T T T"
Si 2.047 2.047 1.209
Mo 2.047 0.000 2.570
Er 0.000 0.000 0.000
Ru 0.000 2.047 2.570
Si 0.000 0.000 3.931
```

- Formation energy from raw total energies: -0.593 eV/atom

No. 4
## ErMoS2 (PBE)

Data for a relaxed structure of ErMoS2.

Geometry as extended XYZ:
```
4
Lattice="3.368 0.000 0.000 1.684 2.917 0.000 1.684 0.972 8.438" Properties=species:S:1:pos:R:3 pbc="T T T"
Er 0.000 0.000 0.000
Mo 3.368 1.945 4.219
S 5.052 2.917 2.685
S 1.684 0.972 5.752
```

- Formation energy from raw total energies: -0.530 eV/atom

No. 5
## ErScMo4 (PBE)

Data for a relaxed structure of ErScMo4.

Geometry as extended XYZ:
```
6
Lattice="5.438 0.000 0.000 2.719 4.710 0.000 2.719 1.570 4.440" Properties=species:S:1:pos:R:3 pbc="T T T"
Mo 6.798 3.925 2.775
Mo 4.079 3.925 2.775
Sc 0.000 0.000 0.000
Mo 5.438 3.140 0.555
Er 2.719 1.570 1.110
Mo 5.438 1.570 2.775
```

- ΔH_f (0 K): 26 meV per atom

No. 6
## ErSc2Mo (PBE)

Data for a relaxed structure of ErSc2Mo.

Geometry as extended XYZ:
```
4
Lattice="3.293 0.000 0.000 1.647 2.852 0.000 1.647 0.951 9.914" Properties=species:S:1:pos:R:3 pbc="T T T"
Mo 0.000 0.000 0.000
Sc 4.940 2.852 7.910
Sc 1.647 0.951 2.005
Er 3.293 1.901 4.957
```

- ΔH_f (0 K): 258 meV per atom

No. 7
## ErSc2Mo (PBE)

Data for a relaxed structure of ErSc2Mo.

Geometry as extended XYZ:
```
4
Lattice="-0.825 2.220 2.532 -0.750 -2.663 2.090 7.164 -0.110 2.430" Properties=species:S:1:pos:R:3 pbc="T T T"
Sc 5.759 -0.088 1.954
Sc 1.404 -0.022 0.476
Mo -0.787 -0.222 2.311
Er 2.795 -0.276 3.526
```

- ΔH_f (0 K): 141 meV per atom

No. 8
## ErThScMo (PBE)

Data for a relaxed structure of ErThScMo.

Geometry as extended XYZ:
```
4
Lattice="-4.128 -3.031 0.499 -0.802 -3.826 -3.346 0.564 -4.889 1.499" Properties=species:S:1:pos:R:3 pbc="T T T"
Sc 0.000 0.000 0.000
Er -1.091 -2.937 -0.337
Th -3.274 -8.810 -1.011
Mo -2.183 -5.873 -0.674
```

- ΔH_f (0 K): 201 meV per atom

No. 9
## ErSiMo (PBE)

Data for a relaxed structure of ErSiMo.

Geometry as extended XYZ:
```
12
Lattice="-2.032 1.084 -2.767 -5.810 -5.162 2.244 -3.291 5.732 4.663" Properties=species:S:1:pos:R:3 pbc="T T T"
Mo -6.676 -3.175 1.317
Si -6.687 -2.819 3.806
Er -7.411 -0.042 3.084
Si -2.414 3.389 3.101
Mo -1.248 -0.142 0.861
Er -4.913 2.275 4.500
Mo -4.457 4.829 2.824
Mo -7.853 0.712 6.047
Er -4.188 -1.705 2.408
Er -3.722 1.696 1.056
Si -3.287 -1.014 -0.326
Si -7.846 2.668 4.466
```

- Formation energy from raw total energies: -0.430 eV/atom

No. 10
## ErSiMo (PBE)

Data for a relaxed structure of ErSiMo.

Geometry as extended XYZ:
```
12
Lattice="-1.117 -4.865 -3.413 4.376 1.324 -3.321 6.046 -3.225 2.619" Properties=species:S:1:pos:R:3 pbc="T T T"
Er 2.883 -0.793 -2.493
Mo 3.115 -2.551 -0.062
Mo 3.167 -2.603 -5.362
Er 3.399 -4.362 -2.932
Er 5.906 -2.405 -1.183
Si 3.977 -4.852 0.256
Mo 6.190 -4.215 -4.053
Si 8.909 -1.096 -1.356
Si 5.328 -1.915 -4.370
Er 6.422 -5.973 -1.622
Si 0.396 -5.670 -2.759
Mo 6.138 -4.163 1.248
```

- Formation energy from raw total energies: -0.237 eV/atom

No. 11
## ErSi2Mo2 (PBE)

Data for a relaxed structure of ErSi2Mo2.

Geometry as extended XYZ:
```
10
Lattice="6.522 0.509 -0.027 -1.734 6.308 -0.027 -2.382 -3.391 4.807" Properties=species:S:1:pos:R:3 pbc="T T T"
Si 0.519 3.472 3.565
Si 1.887 -0.047 1.188
Er 2.837 1.844 3.565
Mo -0.421 1.596 4.727
Mo 3.699 -1.315 2.431
Mo 2.827 1.830 0.027
Er -0.430 1.581 1.188
Si -1.367 -0.292 3.592
Mo -1.293 4.740 2.323
Si 3.773 3.718 1.162
```

- Formation energy from raw total energies: -0.150 eV/atom

No. 12
## Er3Si4Mo2 (PBE)

Data for a relaxed structure of Er3Si4Mo2.

Geometry as extended XYZ:
```
9
Lattice="-3.544 1.101 -0.695 2.446 -1.903 -5.230 -2.911 -6.606 4.377" Properties=species:S:1:pos:R:3 pbc="T T T"
Si -2.866 -4.312 -2.472
Er -0.345 -3.003 -2.997
Mo -2.537 -2.276 -0.925
Er -3.664 -4.405 1.448
Si -2.332 -6.937 0.904
Er 0.000 0.000 0.000
Mo -1.472 -5.132 -0.623
Si -1.676 -0.471 -2.452
Si -1.143 -3.096 0.924
```

- Formation energy from raw total energies: -0.593 eV/atom

no.,calculated volume (Å³ per atom)
1,19.293
2,18.746
3,17.228
4,20.726
5,18.955
6,23.281
7,22.731
8,24.080
9,19.630
10,19.751
11,20.088
12,19.115